Entry 1:
Entry from the Alexandria database: an optimized crystal structure of BeAsRh2 (PBE-GGA).

a = 4.2720 Å, b = 4.2720 Å, c = 4.2720 Å
α = 60.00°, β = 60.00°, γ = 60.00°
With the nearest neighbours (Å) after each atom.
Positions (direct):
Be 0.0000 0.0000 0.0000  4 As 2.62, 4 Rh 2.62
As 0.2500 0.2500 0.2500  4 Rh 2.62, 4 Be 2.62
Rh 0.5000 0.5000 0.5000  4 Rh 2.62, 4 As 2.62
Rh 0.7500 0.7500 0.7500  4 Be 2.62, 4 Rh 2.62

Values from the calculation:
Energy above the most stable polymorph in this dataset ... 1.79 eV per formula unit
ρ ... 8.727 g cm⁻³
Total magnetization ... 0.0000 μB/atom
Formation enthalpy at 0 K ... 0.074 eV per atom

---

Entry 2:
Entry from the Alexandria database: an optimized crystal structure of KPb2WI (PBE-GGA).

a = 6.0641 Å, b = 6.0641 Å, c = 6.0192 Å
α = 90.00°, β = 90.00°, γ = 90.00°
With the nearest neighbours (Å) after each atom.
Positions (direct):
K 0.0000 0.0000 0.0000  2 I 3.01
Pb 0.0000 0.5000 0.5000  2 I 3.03
Pb 0.5000 0.0000 0.5000  2 I 3.03
W 0.5000 0.5000 0.0000  8 Pb 4.27, 4 K 4.29
I 0.0000 0.0000 0.5000  2 K 3.01, 4 Pb 3.03

Values from the calculation:
Raw formation energy ... 1.505 eV per atom
ρ ... 5.733 g cm⁻³
Total magnetization ... 0.8329 μB/atom